(1)
Density functional theory data (PBE) for a relaxed MoAsP2 crystal.

Results
The calculation puts the spin magnetization at 0.00 Bohr magnetons per cell. For the total energy, the calculation gives -6.457 eV per atom.

Unit cell a=3.2344 b=3.2344 c=20.7072 alpha=90.00 beta=90.00 gamma=120.00
Space group R3m (No. 160, hexagonal axes)
One atom of each set of equivalent atoms:
Mo 0.0000 0.0000 0.0000 (multiplicity 3)
As 0.0000 0.0000 0.2485 (multiplicity 3)
P 0.0000 0.0000 0.4879 (multiplicity 3)
P 0.0000 0.0000 0.7551 (multiplicity 3)

=====

(2)
Density functional theory data (PBE) for a relaxed Li2TlAg2 crystal.

Results
As for the energy relative to the lowest polymorph listed for this composition: 0.005 eV/atom. The calculation puts the spin magnetization at 0.00 Bohr magnetons per cell. For the total energy, the calculation gives -2.533 eV per atom.

Unit cell a=7.710 b=7.710 c=3.153 alpha=90.00 beta=90.00 gamma=90.00
Space group P4/mbm (No. 127)
One atom of each set of equivalent atoms:
Li 0.164 0.336 0.000 (multiplicity 4)
Tl 0.000 0.000 0.500 (multiplicity 2)
Ag 0.130 0.630 0.500 (multiplicity 4)

=====

(3)
Density functional theory data (PBE) for a relaxed Tb8SmBi6 crystal.

Results
The calculation puts the spin magnetization at 0.00 Bohr magnetons per cell. For the total energy, the calculation gives -4.877 eV per atom.

Unit cell a=7.7149 b=7.7149 c=29.5157 alpha=90.00 beta=90.00 gamma=120.00
Space group R-3 (No. 148, hexagonal axes)
One atom of each set of equivalent atoms:
Tb 0.0000 0.0000 0.1665 (multiplicity 6)
Tb 0.0011 0.3308 0.6212 (multiplicity 18)
Sm 0.0000 0.0000 0.5000 (multiplicity 3)
Bi 0.0007 0.3369 0.4371 (multiplicity 18)

=====

(4)
Density functional theory data (PBE) for a relaxed LiMg2Be crystal.

Results
The calculation puts the spin magnetization at 0.00 Bohr magnetons per cell. For the total energy, the calculation gives -2.003 eV per atom.

Unit cell a=2.905 b=4.420 c=5.502 alpha=90.00 beta=104.92 gamma=90.00
Space group Pm (No. 6)
One atom of each set of equivalent atoms:
Li 0.000 0.000 0.000 (multiplicity 1)
Mg 0.285 0.000 0.551 (multiplicity 1)
Mg 0.610 0.500 0.211 (multiplicity 1)
Be 0.888 0.500 0.753 (multiplicity 1)

=====

(5)
Density functional theory data (PBE) for a relaxed NaNb3O8 crystal.

Results
As for the energy relative to the lowest polymorph listed for this composition: 0.025 eV/atom. The value obtained for the formation energy without anion corrections is -2480 meV/atom. The calculation puts the spin magnetization at 0.00 Bohr magnetons per cell. For the total energy, the calculation gives -8.413 eV per atom.

Unit cell a=7.482 b=10.423 c=7.175 alpha=90.00 beta=90.00 gamma=90.00
Space group Ibam (No. 72)
One atom of each set of equivalent atoms:
Na 0.000 0.000 0.250 (multiplicity 4)
Nb 0.000 0.500 0.250 (multiplicity 4)
Nb 0.245 0.236 0.000 (multiplicity 8)
O 0.018 0.165 0.000 (multiplicity 8)
O 0.104 0.422 0.500 (multiplicity 8)
O 0.198 0.361 0.200 (multiplicity 16)

=====

(6)
Density functional theory data (PBE) for a relaxed CrCoAg2 crystal.

Results
As for the energy relative to the lowest polymorph listed for this composition: 0.219 eV/atom. The calculation puts the spin magnetization at 9.14 Bohr magnetons per cell. For the total energy, the calculation gives -5.068 eV per atom.

Unit cell a=6.301 b=6.301 c=6.301 alpha=90.00 beta=90.00 gamma=90.00
Space group F-43m (No. 216)
One atom of each set of equivalent atoms:
Cr 0.000 0.000 0.000 (multiplicity 4)
Co 0.250 0.250 0.750 (multiplicity 4)
Ag 0.000 0.000 0.500 (multiplicity 4)
Ag 0.250 0.250 0.250 (multiplicity 4)

=====

(7)
Density functional theory data (PBE) for a relaxed KYPd4 crystal.

Results
The calculation puts the spin magnetization at 0.00 Bohr magnetons per cell. For the total energy, the calculation gives -5.132 eV per atom.

Unit cell a=7.776 b=7.776 c=7.776 alpha=90.00 beta=90.00 gamma=90.00
Space group F-43m (No. 216)
One atom of each set of equivalent atoms:
K 0.000 0.000 0.000 (multiplicity 4)
Y 0.250 0.250 0.250 (multiplicity 4)
Pd 0.125 0.125 0.625 (multiplicity 16)

=====

(8)
Density functional theory data (PBE) for a relaxed Li3Zn crystal.

Results
The calculation puts the spin magnetization at 0.00 Bohr magnetons per cell. For the total energy, the calculation gives -1.848 eV per atom.

Unit cell a=5.7165 b=5.7165 c=4.7126 alpha=90.00 beta=90.00 gamma=120.00
Space group P6_3/mmc (No. 194)
One atom of each set of equivalent atoms:
Li 0.1713 0.3426 0.2500 (multiplicity 6)
Zn 0.3333 0.6667 0.7500 (multiplicity 2)

=====

(9)
Density functional theory data (PBE) for a relaxed Pr2Ho2Ga3 crystal.

Results
The calculation puts the spin magnetization at 0.00 Bohr magnetons per cell. For the total energy, the calculation gives -4.388 eV per atom.

Unit cell a=3.727 b=5.992 c=8.254 alpha=91.71 beta=90.02 gamma=107.66
Space group P-1 (No. 2)
One atom of each set of equivalent atoms:
Pr 0.208 0.413 0.165 (multiplicity 2)
Ho 0.062 0.114 0.694 (multiplicity 2)
Ga 0.331 0.665 0.539 (multiplicity 2)
Ga 0.500 0.000 0.000 (multiplicity 1)

=====

(10)
Density functional theory data (PBE) for a relaxed InOsNF2 crystal.

Results
As for the energy relative to the lowest polymorph listed for this composition: 0.000 eV/atom. The value obtained for the formation energy without anion corrections is -490 meV/atom. The calculation puts the spin magnetization at 0.00 Bohr magnetons per cell. For the total energy, the calculation gives -5.697 eV per atom.

Unit cell a=4.450 b=4.450 c=3.764 alpha=90.00 beta=90.00 gamma=90.00
Space group P4/mmm (No. 123)
One atom of each set of equivalent atoms:
In 0.000 0.000 0.000 (multiplicity 1)
Os 0.500 0.500 0.500 (multiplicity 1)
N 0.500 0.500 0.000 (multiplicity 1)
F 0.000 0.500 0.500 (multiplicity 2)

=====

(11)
Density functional theory data (PBE) for a relaxed KLi2Pt crystal.

Results
The calculation puts the spin magnetization at 0.00 Bohr magnetons per cell. For the total energy, the calculation gives -2.663 eV per atom.

Unit cell a=7.040 b=7.040 c=7.040 alpha=90.00 beta=90.00 gamma=90.00
Space group F-43m (No. 216)
One atom of each set of equivalent atoms:
K 0.000 0.000 0.000 (multiplicity 4)
Li 0.000 0.000 0.500 (multiplicity 4)
Li 0.250 0.250 0.250 (multiplicity 4)
Pt 0.250 0.250 0.750 (multiplicity 4)

=====

(12)
Density functional theory data (PBE) for a relaxed Er6ScTl crystal.

Results
As for the energy relative to the lowest polymorph listed for this composition: 0.106 eV/atom. The calculation puts the spin magnetization at 0.00 Bohr magnetons per cell. For the total energy, the calculation gives -4.451 eV per atom.

Unit cell a=6.477 b=11.306 c=6.341 alpha=90.00 beta=90.09 gamma=90.00
Space group C2/m (No. 12)
One atom of each set of equivalent atoms:
Er 0.071 0.000 0.247 (multiplicity 4)
Er 0.208 0.287 0.246 (multiplicity 8)
Sc 0.000 0.500 0.000 (multiplicity 2)
Tl 0.000 0.500 0.500 (multiplicity 2)

=====

(13)
Density functional theory data (PBE) for a relaxed As2WN crystal.

Results
The value obtained for the formation energy without anion corrections is 890 meV/atom. The calculation puts the spin magnetization at 0.00 Bohr magnetons per cell. For the total energy, the calculation gives -6.755 eV per atom.

Unit cell a=5.522 b=5.522 c=8.736 alpha=90.00 beta=90.00 gamma=90.00
Space group I-42d (No. 122)
One atom of each set of equivalent atoms:
As 0.191 0.250 0.125 (multiplicity 8)
W 0.000 0.000 0.500 (multiplicity 4)
N 0.000 0.000 0.000 (multiplicity 4)

=====

(14)
Density functional theory data (PBE) for a relaxed Sc2Tl2Pt crystal.

Results
As for the energy relative to the lowest polymorph listed for this composition: 0.000 eV/atom. The calculation puts the spin magnetization at 0.00 Bohr magnetons per cell. For the total energy, the calculation gives -4.991 eV per atom.

Unit cell a=7.000 b=7.000 c=4.904 alpha=90.00 beta=90.00 gamma=90.00
Space group P4/mbm (No. 127)
One atom of each set of equivalent atoms:
Sc 0.160 0.340 0.000 (multiplicity 4)
Tl 0.160 0.660 0.500 (multiplicity 4)
Pt 0.000 0.000 0.000 (multiplicity 2)

=====

(15)
Density functional theory data (PBE) for a relaxed K2CuP crystal.

Results
The calculation puts the spin magnetization at 0.00 Bohr magnetons per cell. For the total energy, the calculation gives -2.593 eV per atom.

Unit cell a=3.581 b=4.821 c=5.936 alpha=90.00 beta=90.00 gamma=90.00
Space group Pmmm (No. 47)
One atom of each set of equivalent atoms:
K 0.000 0.000 0.243 (multiplicity 2)
Cu 0.500 0.500 0.500 (multiplicity 1)
P 0.500 0.500 0.000 (multiplicity 1)

=====

(16)
Density functional theory data (PBE) for a relaxed SmTlInPb crystal.

Results
As for the energy relative to the lowest polymorph listed for this composition: 0.191 eV/atom. The calculation puts the spin magnetization at 0.00 Bohr magnetons per cell. For the total energy, the calculation gives -3.547 eV per atom.

Unit cell a=7.776 b=7.776 c=7.776 alpha=90.00 beta=90.00 gamma=90.00
Space group F-43m (No. 216)
One atom of each set of equivalent atoms:
Sm 0.000 0.000 0.000 (multiplicity 4)
Tl 0.250 0.250 0.750 (multiplicity 4)
In 0.250 0.250 0.250 (multiplicity 4)
Pb 0.000 0.000 0.500 (multiplicity 4)

=====

(17)
Density functional theory data (PBE) for a relaxed NdAgSnRh crystal.

Results
The calculation puts the spin magnetization at 0.00 Bohr magnetons per cell. For the total energy, the calculation gives -5.190 eV per atom.

Unit cell a=6.967 b=6.967 c=6.967 alpha=90.00 beta=90.00 gamma=90.00
Space group F-43m (No. 216)
One atom of each set of equivalent atoms:
Nd 0.000 0.000 0.000 (multiplicity 4)
Ag 0.250 0.250 0.250 (multiplicity 4)
Sn 0.000 0.000 0.500 (multiplicity 4)
Rh 0.250 0.250 0.750 (multiplicity 4)

=====

(18)
Density functional theory data (PBE) for a relaxed LiTaNi crystal.

Results
As for the energy relative to the lowest polymorph listed for this composition: 0.029 eV/atom. The calculation puts the spin magnetization at 0.00 Bohr magnetons per cell. For the total energy, the calculation gives -6.353 eV per atom.

Unit cell a=2.669 b=3.871 c=7.948 alpha=90.00 beta=90.00 gamma=90.00
Space group Imm2 (No. 44)
One atom of each set of equivalent atoms:
Li 0.000 0.000 0.000 (multiplicity 2)
Ta 0.000 0.000 0.321 (multiplicity 2)
Ni 0.000 0.000 0.653 (multiplicity 2)

=====

(19)
Density functional theory data (PBE) for a relaxed LiFeCu4 crystal.

Results
The calculation puts the spin magnetization at 12.26 Bohr magnetons per cell. For the total energy, the calculation gives -4.291 eV per atom.

Unit cell a=6.799 b=6.799 c=6.799 alpha=90.00 beta=90.00 gamma=90.00
Space group F-43m (No. 216)
One atom of each set of equivalent atoms:
Li 0.000 0.000 0.000 (multiplicity 4)
Fe 0.250 0.250 0.250 (multiplicity 4)
Cu 0.125 0.125 0.625 (multiplicity 16)

=====

(20)
Density functional theory data (PBE) for a relaxed BaNaSnTe3 crystal.

Results
The value obtained for the formation energy without anion corrections is -849 meV/atom. The calculation puts the spin magnetization at 0.00 Bohr magnetons per cell. For the total energy, the calculation gives -3.628 eV per atom.

Unit cell a=8.348 b=4.928 c=10.921 alpha=90.00 beta=110.08 gamma=90.00
Space group P2_1/m (No. 11)
One atom of each set of equivalent atoms:
Ba 0.205 0.250 0.205 (multiplicity 2)
Na 0.374 0.250 0.880 (multiplicity 2)
Sn 0.213 0.750 0.610 (multiplicity 2)
Te 0.003 0.250 0.661 (multiplicity 2)
Te 0.237 0.750 0.988 (multiplicity 2)
Te 0.436 0.250 0.563 (multiplicity 2)